Below is crystalline Li2Mn3TeO8 at its relaxed geometry, with properties calculated at the PBE+U level.

Structure (CIF):
```
data_Li2Mn3TeO8
_chemical_formula_sum 'Li6 Mn9 Te3 O24'
_cell_length_a 6.1013
_cell_length_b 6.1013
_cell_length_c 15.4357
_cell_angle_alpha 90.00
_cell_angle_beta 90.00
_cell_angle_gamma 120.00
_symmetry_space_group_name_H-M 'R -3 m'
_symmetry_Int_Tables_number 166
_symmetry_space_group_name_Hall '-R 3 2"'
loop_
_atom_site_label
_atom_site_type_symbol
_atom_site_fract_x
_atom_site_fract_y
_atom_site_fract_z
_atom_site_occupancy
Li1 Li 0.0000 0.0000 0.1398 1
Mn1 Mn 0.0000 0.5000 0.0000 1
Te1 Te 0.0000 0.0000 0.5000 1
O1 O 0.0000 0.0000 0.2733 1
O2 O 0.0344 0.5172 0.2430 1
```

Computed properties:
Fermi-level density of states ... 3.30 states/eV/f.u.
ΔE to the lowest computed polymorph ... 1.0 kJ per mole of atoms
Total moment ... 39.00 μB/cell
Volume ... 11.849 A^3/atom